GGA+U FeCoO3, relaxed; size of the total moment = 1.000 μB/atom; uncorrected energy = -5.5106 eV per atom; space group = Pm-3m; crystal system = cubic; density of states at the Fermi level = 0.69 states/eV/f.u.; ρ = 5.8 g cm⁻³
1.0
3.606 0.000 0.000
0.000 3.606 0.000
0.000 0.000 3.606
Fe Co O
1 1 3
direct
0.000 0.000 0.000
0.500 0.500 0.500
0.000 0.500 0.500
0.500 0.000 0.500
0.500 0.500 0.000